Entry 1:
A geometry-optimized CeAl3Br12 structure, computed with PBE.

a = 11.041 Å, b = 11.041 Å, c = 18.948 Å
α = 90.00°, β = 90.00°, γ = 120.00°
Positions (direct):
1 Ce 0.000 0.745 0.167
2 Ce 0.255 0.255 0.500
3 Ce 0.745 0.000 0.833
4 Al 0.000 0.081 0.667
5 Al 0.081 0.000 0.333
6 Al 0.291 0.653 0.228
7 Al 0.347 0.638 0.562
8 Al 0.362 0.709 0.895
9 Al 0.638 0.347 0.438
10 Al 0.653 0.291 0.772
11 Al 0.709 0.362 0.105
12 Al 0.919 0.919 0.000
13 Br 0.036 0.217 0.767
14 Br 0.057 0.190 0.366
15 Br 0.076 0.611 0.282
16 Br 0.133 0.943 0.033
17 Br 0.176 0.730 0.860
18 Br 0.180 0.964 0.434
19 Br 0.190 0.057 0.634
20 Br 0.207 0.682 0.632
21 Br 0.217 0.036 0.233
22 Br 0.219 0.503 0.461
23 Br 0.270 0.446 0.193
24 Br 0.283 0.781 0.128
25 Br 0.318 0.525 0.965
26 Br 0.389 0.464 0.616
27 Br 0.446 0.270 0.807
28 Br 0.464 0.389 0.384
29 Br 0.475 0.793 0.298
30 Br 0.497 0.717 0.795
31 Br 0.503 0.219 0.539
32 Br 0.525 0.318 0.035
33 Br 0.536 0.924 0.949
34 Br 0.554 0.824 0.527
35 Br 0.611 0.076 0.718
36 Br 0.682 0.207 0.368
37 Br 0.717 0.497 0.205
38 Br 0.730 0.176 0.140
39 Br 0.781 0.283 0.872
40 Br 0.783 0.820 0.101
41 Br 0.793 0.475 0.702
42 Br 0.810 0.867 0.699
43 Br 0.820 0.783 0.899
44 Br 0.824 0.554 0.473
45 Br 0.867 0.810 0.301
46 Br 0.924 0.536 0.051
47 Br 0.943 0.133 0.967
48 Br 0.964 0.180 0.566

## Properties
spin magnetization = 3.00 μB per cell
formation energy from raw total energies = -1.298 eV per atom

---

Entry 2:
A geometry-optimized Ce2AlBr structure, computed with PBE.

a = 7.444 Å, b = 7.444 Å, c = 7.444 Å
α = 33.74°, β = 33.74°, γ = 33.74°
Positions (direct):
1 Ce 0.250 0.250 0.250
2 Ce 0.750 0.750 0.750
3 Al 0.500 0.500 0.500
4 Br 0.000 0.000 0.000

## Properties
relative energy among the computed polymorphs = 88 meV per atom
spin magnetization = 2.19 μB per cell
formation energy from raw total energies = -0.549 eV per atom

---

Entry 3:
A geometry-optimized CeAlBr6 structure, computed with PBE.

a = 7.340 Å, b = 7.340 Å, c = 6.792 Å
α = 97.53°, β = 97.53°, γ = 124.65°
Positions (direct):
1 Ce 0.000 0.000 0.000
2 Al 0.500 0.500 0.500
3 Br 0.147 0.426 0.284
4 Br 0.262 0.262 0.734
5 Br 0.426 0.147 0.284
6 Br 0.574 0.853 0.716
7 Br 0.738 0.738 0.266
8 Br 0.853 0.574 0.716

## Properties
spin magnetization = 1.00 μB per cell
formation energy from raw total energies = -1.363 eV per atom

---

Entry 4:
A geometry-optimized Ce2AlBr structure, computed with PBE.

a = 3.463 Å, b = 3.463 Å, c = 8.376 Å
α = 90.00°, β = 90.00°, γ = 90.00°
Positions (direct):
1 Ce 0.000 0.000 0.240
2 Ce 0.000 0.000 0.760
3 Al 0.500 0.500 0.000
4 Br 0.500 0.500 0.500

## Properties
relative energy among the computed polymorphs = 0 meV per atom
spin magnetization = 2.16 μB per cell
formation energy from raw total energies = -0.637 eV per atom

---

Entry 5:
A geometry-optimized AlBr4Cl structure, computed with PBE.

a = 6.189 Å, b = 6.189 Å, c = 6.189 Å
α = 60.00°, β = 60.00°, γ = 60.00°
Positions (direct):
1 Al 0.000 0.000 0.000
2 Br 0.126 0.625 0.625
3 Br 0.625 0.126 0.625
4 Br 0.625 0.625 0.126
5 Br 0.625 0.625 0.625
6 Cl 0.250 0.250 0.250

## Properties
spin magnetization = 0.00 μB per cell
formation energy from raw total energies = 0.462 eV per atom

---

Entry 6:
A geometry-optimized AlBr3Cl structure, computed with PBE.

a = 5.385 Å, b = 5.385 Å, c = 5.385 Å
α = 90.00°, β = 90.00°, γ = 90.00°
Positions (direct):
1 Al 0.000 0.000 0.000
2 Br 0.000 0.500 0.500
3 Br 0.500 0.000 0.500
4 Br 0.500 0.500 0.000
5 Cl 0.500 0.500 0.500

## Properties
spin magnetization = 0.00 μB per cell
formation energy from raw total energies = 0.255 eV per atom